# 1
First-principles (PBE) data for TmTh2AgC after structural relaxation, as listed in Alexandria via LeMat-Bulk.

Lattice parameters (Å, degrees): 5.069 5.069 4.811 90.00 90.00 90.00
Fractional coordinates of all 5 atoms:
Tm (0.000, 0.000, 0.000)
Th (0.000, 0.500, 0.500)
Th (0.500, 0.000, 0.500)
Ag (0.500, 0.500, 0.000)
C (0.000, 0.000, 0.500)

Values from the calculation:
DFT total energy = -6.42 eV per atom

=====

# 2
First-principles (PBE) data for YTh2AgC after structural relaxation, as listed in Alexandria via LeMat-Bulk.

Lattice parameters (Å, degrees): 5.061 5.061 4.912 90.00 90.00 90.00
Fractional coordinates of all 5 atoms:
Y (0.000, 0.000, 0.000)
Th (0.000, 0.500, 0.500)
Th (0.500, 0.000, 0.500)
Ag (0.500, 0.500, 0.000)
C (0.000, 0.000, 0.500)

Values from the calculation:
DFT total energy = -6.80 eV per atom

=====

# 3
First-principles (PBE) data for Y2ThAgC after structural relaxation, as listed in Alexandria via LeMat-Bulk.

Lattice parameters (Å, degrees): 4.897 4.897 5.080 90.00 90.00 90.00
Fractional coordinates of all 5 atoms:
Y (0.000, 0.500, 0.000)
Y (0.500, 0.000, 0.000)
Th (0.000, 0.000, 0.500)
Ag (0.500, 0.500, 0.500)
C (0.000, 0.000, 0.000)

Values from the calculation:
DFT total energy = -6.66 eV per atom

=====

# 4
First-principles (PBE) data for TiAg3C after structural relaxation, as listed in Alexandria via LeMat-Bulk.

Lattice parameters (Å, degrees): 4.345 4.345 4.345 90.00 90.00 90.00
Fractional coordinates of all 5 atoms:
Ti (0.000, 0.000, 0.000)
Ag (0.000, 0.500, 0.500)
Ag (0.500, 0.000, 0.500)
Ag (0.500, 0.500, 0.000)
C (0.500, 0.500, 0.500)

Values from the calculation:
DFT total energy = -4.25 eV per atom
energy above the lowest structure with this stoichiometry = 0 meV/atom

=====

# 5
First-principles (PBE) data for Ti2AgC after structural relaxation, as listed in Alexandria via LeMat-Bulk.

Lattice parameters (Å, degrees): 3.051 3.051 21.361 90.00 90.00 120.00
Fractional coordinates of all 12 atoms:
Ti (0.000, 0.000, 0.221)
Ti (0.000, 0.000, 0.779)
Ti (0.333, 0.667, 0.446)
Ti (0.333, 0.667, 0.888)
Ti (0.667, 0.333, 0.112)
Ti (0.667, 0.333, 0.554)
Ag (0.000, 0.000, 0.000)
Ag (0.333, 0.667, 0.667)
Ag (0.667, 0.333, 0.333)
C (0.000, 0.000, 0.500)
C (0.333, 0.667, 0.167)
C (0.667, 0.333, 0.833)

Values from the calculation:
DFT total energy = -7.42 eV per atom

=====

# 6
First-principles (PBE) data for TiAg3C after structural relaxation, as listed in Alexandria via LeMat-Bulk.

Lattice parameters (Å, degrees): 5.085 5.085 5.085 90.00 90.00 90.00
Fractional coordinates of all 5 atoms:
Ti (0.000, 0.000, 0.000)
Ag (0.000, 0.000, 0.500)
Ag (0.000, 0.500, 0.000)
Ag (0.500, 0.000, 0.000)
C (0.500, 0.500, 0.500)

Values from the calculation:
DFT total energy = -2.72 eV per atom
energy above the lowest structure with this stoichiometry = 1529 meV/atom